VASP calculation (PBE-GGA) on BC2 after structural relaxation.

Results
Its magnetic moment is 0.00 μB per cell. The space group is Cc (9). For the energy of formation, the calculation gives 345 meV/atom. Its calculated total energy is -8.030 eV/atom.

Lattice parameters (Å, degrees): 4.6403 4.6403 4.4287 99.01 99.01 119.95
Sites, in units of the cell vectors:
B 0.0514 0.9486 0.5000
B 0.0961 0.5393 0.6480
B 0.5393 0.0961 0.1480
B 0.9486 0.0514 0.0000
C 0.2135 0.7166 0.0130
C 0.2809 0.4399 0.1402
C 0.4018 0.5636 0.5073
C 0.4399 0.2809 0.6402
C 0.5636 0.4018 0.0073
C 0.7166 0.2135 0.5130
C 0.7338 0.9259 0.6439
C 0.9259 0.7338 0.1439